# Sr3PdRu SCAN PBEsol geometry
data_Sr3PdRu
_cell_length_a 5.432
_cell_length_b 5.432
_cell_length_c 5.432
_cell_angle_alpha 90.00
_cell_angle_beta 90.00
_cell_angle_gamma 90.00
_symmetry_space_group_name_H-M 'P m -3 m'
_symmetry_Int_Tables_number 221
_symmetry_space_group_name_Hall '-P 4 2 3'
loop_
_atom_site_label
_atom_site_type_symbol
_atom_site_fract_x
_atom_site_fract_y
_atom_site_fract_z
Sr1 Sr 0.000 0.000 0.500
Pd1 Pd 0.500 0.500 0.500
Ru1 Ru 0.000 0.000 0.000
# - DOS at the Fermi energy: 2.66 states/eV/f.u.
# - Crystal system: cubic
# - Electronic total energy: -26.50 eV per atom
# - Calculated formation energy: 0.38 eV/atom